# 1
Rb3PtBr: relaxed, GGA-PBE.

## Properties
**Uncorrected formation energy**: -0.549 eV per atom
**Polymorph energy (0 for the lowest one)**: 0 meV/atom
**Calculated total energy**: -2.672 eV per atom

Cell and atoms, written as POSCAR:
```
Rb3PtBr
1.0
6.322 0.000 0.000
0.000 6.322 0.000
0.000 0.000 6.322
Rb Pt Br
3 1 1
Cartesian
0.000 0.000 3.161
0.000 3.161 0.000
3.161 0.000 0.000
0.000 0.000 0.000
3.161 3.161 3.161
```

=====

# 2
LiAgPd2F8: relaxed, GGA-PBE.

## Properties
**Uncorrected formation energy**: -1.506 eV per atom
**Calculated total energy**: -4.016 eV per atom

Cell and atoms, written as POSCAR:
```
LiAgPd2F8
1.0
4.905 0.000 0.000
0.222 4.920 0.000
0.022 0.021 6.890
Li Ag Pd F
1 1 2 8
Cartesian
0.000 0.000 0.000
0.011 0.010 3.445
2.569 2.465 1.674
2.580 2.475 5.217
1.210 3.905 1.604
1.223 3.917 5.286
1.650 1.598 6.887
1.701 1.648 3.440
3.448 3.292 3.451
3.500 3.342 0.004
3.927 1.024 1.604
3.939 1.035 5.287
```

=====

# 3
BeAlCd2: relaxed, GGA-PBE.

## Properties
**Energy of formation from the pure elements**: 0.38 eV/atom
**Polymorph energy (0 for the lowest one)**: 170 meV/atom
**Calculated total energy**: -1.940 eV per atom

Cell and atoms, written as POSCAR:
```
BeAlCd2
1.0
-4.322 4.322 2.237
4.322 -4.322 2.237
4.322 4.322 -2.237
Be Al Cd
2 2 4
Cartesian
0.000 0.000 0.000
0.000 4.322 1.119
4.322 0.000 1.119
0.000 0.000 2.237
2.161 1.120 -0.559
3.202 -2.161 2.797
2.161 3.202 1.678
1.120 6.483 0.559
```

=====

# 4
HfRe2O8: relaxed, GGA-PBE.

## Properties
**Uncorrected formation energy**: -1.859 eV per atom
**Calculated total energy**: -8.633 eV per atom

Cell and atoms, written as POSCAR:
```
HfRe2O8
1.0
4.956 -2.863 0.000
4.956 2.863 0.000
-1.133 0.000 4.800
Hf Re O
1 2 8
Cartesian
0.000 0.000 0.000
2.068 0.000 2.533
6.711 0.000 2.268
2.832 1.484 3.541
0.485 0.000 3.548
3.289 0.000 1.297
5.946 1.484 1.260
2.832 -1.484 3.541
5.489 0.000 3.504
8.293 0.000 1.252
5.946 -1.484 1.260
```

=====

Number 1: total magnetic moment 0.0 Bohr magnetons per cell. Number 2: total magnetic moment 0.0 Bohr magnetons per cell. Number 3: total magnetic moment 0.0 Bohr magnetons per cell. Number 4: total magnetic moment 0.0 Bohr magnetons per cell.